Record 1
The following is a DFT calculation (PBE) of Ba2Ge4IrPt3 after structural relaxation.

Calculated values
Formation enthalpy at 0 K: -6.9 eV per formula unit

a = 4.442 Å, b = 4.442 Å, c = 10.691 Å
α = 90.00°, β = 90.00°, γ = 90.00°
Atoms (fractional coordinates):
Ge 0.000 0.500 0.377
Pt 0.000 0.500 0.122
Ge 0.500 0.500 0.000
Pt 0.500 0.000 0.878
Ge 0.000 0.000 0.000
Pt 0.000 0.000 0.500
Ba 0.000 0.500 0.755
Ir 0.500 0.500 0.500
Ge 0.500 0.000 0.623
Ba 0.500 0.000 0.245

Record 2
The following is a DFT calculation (PBE) of RbBaGe2Ir after structural relaxation.

Calculated values
Formation enthalpy at 0 K: 9.4 eV per formula unit

a = 5.416 Å, b = 6.084 Å, c = 5.416 Å
α = 90.00°, β = 90.00°, γ = 90.00°
Last column: magnetic moment on the atom in μB.
Atoms (fractional coordinates):
Ge 0.500 0.000 0.000  0.00
Ir 0.500 0.500 0.500  0.94
Ba 0.000 0.500 0.000  -0.01
Ge 0.000 0.000 0.500  -0.01
Rb 0.000 0.000 0.000  0.00

Record 3
The following is a DFT calculation (PBE) of BaGe2IrRu after structural relaxation.

Calculated values
Formation enthalpy at 0 K: -2.7 eV per formula unit

a = 4.328 Å, b = 4.328 Å, c = 6.483 Å
α = 109.50°, β = 109.50°, γ = 90.00°
Atoms (fractional coordinates):
Ir 0.250 0.750 0.500
Ru 0.750 0.250 0.500
Ba 0.000 0.000 0.000
Ge 0.353 0.353 0.706
Ge 0.647 0.647 0.294

Question: What is the formation enthalpy at 0 K in the first record?
Answer: -6.9 eV per formula unit

Question: Look up the formation enthalpy at 0 K of the second one.
Answer: 9.4 eV per formula unit